A plane-wave DFT calculation with GGA-PBEsol was carried out for a relaxed structure of LiBi3P6O20.

Lattice parameters (Å, degrees): 13.2848 9.0281 9.0281 108.60 90.00 90.00
Closest atoms and distances in Å follow each position.
Positions (direct):
Li 0.0000 0.0000 0.0000  2 O 1.86
Li 0.5000 0.5000 0.5000  2 O 1.86
Bi 0.0000 0.2981 0.2981  4 O 2.19-2.42
Bi 0.2260 0.6533 0.2393  5 O 2.21-2.34
Bi 0.2740 0.1533 0.7393  5 O 2.21-2.34
Bi 0.5000 0.7981 0.7981  4 O 2.19-2.42
Bi 0.7260 0.7393 0.1533  5 O 2.21-2.34
Bi 0.7740 0.2393 0.6533  5 O 2.21-2.34
P 0.0412 0.3005 0.6901  4 O 1.51-1.64
P 0.1967 0.5362 0.8127  4 O 1.50-1.60
P 0.2034 0.2240 0.1351  4 O 1.51-1.62
P 0.2966 0.7240 0.6351  4 O 1.51-1.62
P 0.3033 0.0362 0.3127  4 O 1.50-1.60
P 0.4588 0.8005 0.1901  4 O 1.51-1.64
P 0.5412 0.1901 0.8005  4 O 1.51-1.64
P 0.6967 0.3127 0.0362  4 O 1.50-1.60
P 0.7034 0.6351 0.7240  4 O 1.51-1.62
P 0.7966 0.1351 0.2240  4 O 1.51-1.62
P 0.8033 0.8127 0.5362  4 O 1.50-1.60
P 0.9588 0.6901 0.3005  4 O 1.51-1.64
O 0.0598 0.2770 0.5164  1 P 1.53
O 0.0680 0.7370 0.3095  1 P 1.51
O 0.0836 0.4765 0.7816  2 P 1.59-1.64
O 0.1014 0.1850 0.7457  1 P 1.52
O 0.1117 0.1146 0.0957  1 P 1.54
O 0.1709 0.3740 0.2659  1 P 1.55
O 0.2033 0.6415 0.9782  1 P 1.50
O 0.2068 0.6406 0.6996  2 P 1.60-1.62
O 0.2299 0.9023 0.2552  1 P 1.51
O 0.2483 0.7643 0.5013  1 P 1.51
O 0.2517 0.2643 0.0013  1 P 1.51
O 0.2701 0.4023 0.7552  1 P 1.51
O 0.2932 0.1406 0.1996  2 P 1.60-1.62
O 0.2967 0.1415 0.4782  1 P 1.50
O 0.3291 0.8740 0.7659  1 P 1.55
O 0.3883 0.6146 0.5957  1 P 1.54
O 0.3986 0.6850 0.2457  1 P 1.52
O 0.4164 0.9765 0.2816  2 P 1.59-1.64
O 0.4320 0.2370 0.8095  1 P 1.51
O 0.4402 0.7770 0.0164  1 P 1.53
O 0.5598 0.0164 0.7770  1 P 1.53
O 0.5680 0.8095 0.2370  1 P 1.51
O 0.5836 0.2816 0.9765  2 P 1.59-1.64
O 0.6014 0.2457 0.6850  1 P 1.52
O 0.6117 0.5957 0.6146  1 P 1.54
O 0.6709 0.7659 0.8740  1 P 1.55
O 0.7033 0.4782 0.1415  1 P 1.50
O 0.7068 0.1996 0.1406  2 P 1.60-1.62
O 0.7299 0.7552 0.4023  1 P 1.51
O 0.7483 0.0013 0.2643  1 P 1.51
O 0.7517 0.5013 0.7643  1 P 1.51
O 0.7701 0.2552 0.9023  1 P 1.51
O 0.7932 0.6996 0.6406  2 P 1.60-1.62
O 0.7967 0.9782 0.6415  1 P 1.50
O 0.8291 0.2659 0.3740  1 P 1.55
O 0.8883 0.0957 0.1146  1 P 1.54
O 0.8986 0.7457 0.1850  1 P 1.52
O 0.9164 0.7816 0.4765  2 P 1.59-1.64
O 0.9320 0.3095 0.7370  1 P 1.51
O 0.9402 0.5164 0.2770  1 P 1.53

* offset from the most stable computed form: 0.002 eV per atom
* M_tot: 0.0 μB per formula unit
* Fermi-level density of states: 0.0000 states/eV per atom
* crystal system: orthorhombic
* uncorrected formation energy: -1.9848 eV/atom

=====

A plane-wave DFT calculation with GGA-PBEsol was carried out for a relaxed structure of Y2Rh.

Lattice parameters (Å, degrees): 6.2527 6.2527 6.5904 90.00 90.00 145.63
Closest atoms and distances in Å follow each position.
Positions (direct):
Y 0.0137 0.9863 0.5000  4 Rh 2.82-2.90
Y 0.2827 0.7173 0.6945  3 Rh 2.77-2.97
Y 0.7173 0.2827 0.1945  3 Rh 2.77-2.97
Y 0.9863 0.0137 0.0000  4 Rh 2.82-2.90
Rh 0.3827 0.6173 0.2813  7 Y 2.77-2.97
Rh 0.6173 0.3827 0.7813  7 Y 2.77-2.97

* M_tot: 0.0 μB per formula unit
* formation energy: -0.574 eV per atom
* Fermi-level density of states: 0.7434 states/eV per atom
* crystal system: orthorhombic

=====

A plane-wave DFT calculation with GGA-PBEsol was carried out for a relaxed structure of MgAg2W.

Lattice parameters (Å, degrees): 9.6822 9.6822 9.6822 16.80 16.80 16.80
Closest atoms and distances in Å follow each position.
Positions (direct):
Mg 0.0000 0.0000 0.0000  6 Mg 2.83, 6 Ag 2.88
Ag 0.2505 0.2505 0.2505  6 Ag 2.83, 3 Mg 2.88, 3 W 2.90
Ag 0.7495 0.7495 0.7495  6 Ag 2.83, 3 Mg 2.88, 3 W 2.90
W 0.5000 0.5000 0.5000  6 W 2.83, 6 Ag 2.90

* M_tot: 0.0 μB per formula unit
* formation energy: 0.301 eV per atom
* Fermi-level density of states: 0.4809 states/eV per atom
* crystal system: trigonal